Record 1
DFT (PBE) results for TbPaPd after structural relaxation.

The value obtained for the formation energy is -0.190 eV/atom. The offset from the most stable computed form comes out at 91 meV/atom.

a = 3.454 Å, b = 3.454 Å, c = 14.280 Å
α = 90.00°, β = 90.00°, γ = 120.00°
Fractional positions:
1 Tb 0.000 0.000 0.199
2 Tb 0.000 0.000 0.801
3 Pa 0.000 0.000 0.500
4 Pa 0.333 0.667 0.000
5 Pd 0.333 0.667 0.354
6 Pd 0.333 0.667 0.646

Record 2
DFT (PBE) results for YHRh3 after structural relaxation.

The offset from the most stable computed form comes out at 829 meV/atom.

a = 9.491 Å, b = 9.491 Å, c = 4.663 Å
α = 90.00°, β = 90.00°, γ = 147.82°
Fractional positions:
1 Y 0.140 0.860 0.750
2 Y 0.860 0.140 0.250
3 H 0.340 0.660 0.750
4 H 0.660 0.340 0.250
5 Rh 0.000 0.000 0.000
6 Rh 0.000 0.000 0.500
7 Rh 0.029 0.474 0.750
8 Rh 0.474 0.029 0.250
9 Rh 0.526 0.971 0.750
10 Rh 0.971 0.526 0.250

Record 3
DFT (PBE) results for SrMgCo after structural relaxation.

The value obtained for the formation energy is 0.371 eV/atom.

a = 4.548 Å, b = 4.548 Å, c = 4.369 Å
α = 90.00°, β = 90.00°, γ = 120.00°
Fractional positions:
1 Sr 0.000 0.000 0.000
2 Mg 0.333 0.667 0.500
3 Co 0.667 0.333 0.500

Record 4
DFT (PBE) results for Y2MgZrS after structural relaxation.

The calculation puts the energy relative to the elements, uncorrected at 0.2499 eV per atom.

a = 5.662 Å, b = 5.662 Å, c = 4.896 Å
α = 90.00°, β = 90.00°, γ = 90.00°
Fractional positions:
1 Y 0.000 0.500 0.000
2 Y 0.500 0.000 0.000
3 Mg 0.000 0.000 0.500
4 Zr 0.500 0.500 0.000
5 S 0.500 0.500 0.500